Li2GePt2: optimized geometry, PBE.

Values from the calculation:
Energy of formation   -448 meV per atom
Space group   No. 127

Structure (POSCAR):
```
Li2GePt2
1.0
-0.666 -4.810 5.147
3.909 -4.554 -3.749
2.412 1.025 1.270
Li Ge Pt
4 2 4
Direct
0.379 0.121 0.500
0.621 0.879 0.500
0.121 0.621 0.500
0.879 0.379 0.500
0.500 0.500 0.000
0.000 0.000 0.000
0.322 0.822 0.000
0.178 0.322 0.000
0.822 0.678 0.000
0.678 0.178 0.000
```